*a*
DFT (PBE) results for a geometry-optimized BaSeOF2 structure.

a b c (Å): 5.032 5.032 5.227
angles (deg): 90.00 90.00 90.00
Sites, in units of the cell vectors:
Ba 0.000 0.000 0.000
Se 0.500 0.500 0.500
O 0.000 0.000 0.500
F 0.000 0.500 0.000
F 0.500 0.000 0.000

Values from the calculation:
Space group: No. 123

*b*
DFT (PBE) results for a geometry-optimized BaSeOF2 structure.

a b c (Å): 4.794 4.794 3.960
angles (deg): 90.00 90.00 90.00
Sites, in units of the cell vectors:
Ba 0.000 0.000 0.000
Se 0.500 0.500 0.500
O 0.500 0.500 0.000
F 0.000 0.500 0.500
F 0.500 0.000 0.500

Values from the calculation:
Space group: No. 123

The data favor *b*; the next most stable structure lies 56.3 kJ/mol of atoms above it.

*a*
DFT (PBE) results for a geometry-optimized ReNiPt4 structure.

a b c (Å): 5.166 5.166 5.166
angles (deg): 60.00 60.00 60.00
Sites, in units of the cell vectors:
Re 0.000 0.000 0.000
Ni 0.250 0.250 0.250
Pt 0.125 0.625 0.625
Pt 0.625 0.125 0.625
Pt 0.625 0.625 0.125
Pt 0.625 0.625 0.625

Values from the calculation:
Space group: No. 216

*b*
DFT (PBE) results for a geometry-optimized ReNiPt4 structure.

a b c (Å): 4.575 8.604 5.383
angles (deg): 90.00 90.14 90.00
Sites, in units of the cell vectors:
Re 0.191 0.250 0.492
Re 0.809 0.750 0.508
Ni 0.333 0.750 0.757
Ni 0.667 0.250 0.243
Pt 0.010 0.504 0.745
Pt 0.010 0.996 0.745
Pt 0.194 0.250 0.005
Pt 0.335 0.750 0.270
Pt 0.665 0.250 0.730
Pt 0.806 0.750 0.995
Pt 0.990 0.004 0.255
Pt 0.990 0.496 0.255

Values from the calculation:
Space group: No. 11

The data favor *b*; the next most stable structure lies 28.7 kJ/mol of atoms above it.

*a*
DFT (PBE) results for a geometry-optimized B2C structure.

a b c (Å): 6.693 6.693 5.060
angles (deg): 108.80 108.80 22.02
Sites, in units of the cell vectors:
B 0.060 0.060 0.121
B 0.088 0.088 0.796
B 0.234 0.234 0.604
B 0.374 0.374 0.620
B 0.626 0.626 0.380
B 0.766 0.766 0.396
B 0.912 0.912 0.204
B 0.940 0.940 0.879
C 0.227 0.227 0.919
C 0.443 0.443 0.412
C 0.557 0.557 0.588
C 0.773 0.773 0.081

Values from the calculation:
Space group: No. 12

*b*
DFT (PBE) results for a geometry-optimized B2C structure.

a b c (Å): 4.514 2.684 7.173
angles (deg): 90.00 93.85 90.00
Sites, in units of the cell vectors:
B 0.000 0.000 0.000
B 0.047 0.000 0.620
B 0.188 0.500 0.244
B 0.345 0.000 0.389
B 0.477 0.500 0.723
B 0.686 0.000 0.241
B 0.812 0.500 0.603
B 0.870 0.500 0.375
C 0.178 0.500 0.022
C 0.390 0.000 0.607
C 0.494 0.500 0.947
C 0.654 0.000 0.022

Values from the calculation:
Space group: No. 6

The data favor *a*; the next most stable structure lies 3.5 kJ/mol of atoms above it.

*a*
DFT (PBE) results for a geometry-optimized B2C3 structure.

a b c (Å): 6.807 6.807 3.927
angles (deg): 106.23 106.23 22.31
Sites, in units of the cell vectors:
B 0.000 0.000 0.000
B 0.591 0.591 0.621
B 0.718 0.718 0.395
B 0.811 0.811 0.824
C 0.106 0.106 0.849
C 0.203 0.203 0.167
C 0.303 0.303 0.050
C 0.402 0.402 0.388
C 0.499 0.499 0.255
C 0.893 0.893 0.597

Values from the calculation:
Space group: No. 8

*b*
DFT (PBE) results for a geometry-optimized B2C3 structure.

a b c (Å): 4.348 4.348 6.430
angles (deg): 109.30 109.30 34.06
Sites, in units of the cell vectors:
B 0.078 0.078 0.274
B 0.105 0.105 0.574
B 0.895 0.895 0.426
B 0.922 0.922 0.726
C 0.279 0.279 0.300
C 0.293 0.293 0.069
C 0.481 0.481 0.103
C 0.519 0.519 0.897
C 0.707 0.707 0.931
C 0.721 0.721 0.700

Values from the calculation:
Space group: No. 12

The data favor *b*; the next most stable structure lies 5.2 kJ/mol of atoms above it.

*a*
DFT (PBE) results for a geometry-optimized SrCu2Br structure.

a b c (Å): 4.139 4.151 5.612
angles (deg): 90.00 90.00 90.00
Sites, in units of the cell vectors:
Sr 0.000 0.000 0.000
Cu 0.000 0.500 0.500
Cu 0.500 0.000 0.500
Br 0.500 0.500 0.000

Values from the calculation:
Space group: No. 47

*b*
DFT (PBE) results for a geometry-optimized SrCu2Br structure.

a b c (Å): 6.679 6.679 6.679
angles (deg): 100.25 100.25 130.10
Sites, in units of the cell vectors:
Sr 0.000 0.000 0.000
Sr 0.750 0.250 0.500
Cu 0.149 0.625 0.024
Cu 0.375 0.399 0.524
Cu 0.601 0.125 0.976
Cu 0.875 0.851 0.476
Br 0.250 0.750 0.500
Br 0.500 0.500 0.000

Values from the calculation:
Space group: No. 122

The data favor *a*; the next most stable structure lies 8.9 kJ/mol of atoms above it.

*a*
DFT (PBE) results for a geometry-optimized TcPt2Br structure.

a b c (Å): 2.865 2.865 9.931
angles (deg): 90.00 90.00 120.57
Sites, in units of the cell vectors:
Tc 0.000 0.000 0.000
Pt 0.000 0.000 0.469
Pt 0.500 0.500 0.226
Br 0.500 0.500 0.779

Values from the calculation:
Space group: No. 35

*b*
DFT (PBE) results for a geometry-optimized TcPt2Br structure.

a b c (Å): 2.924 2.924 8.238
angles (deg): 90.00 90.00 90.00
Sites, in units of the cell vectors:
Tc 0.000 0.000 0.000
Pt 0.000 0.000 0.560
Pt 0.500 0.500 0.793
Br 0.500 0.500 0.213

Values from the calculation:
Space group: No. 99

The data favor *b*; the next most stable structure lies 15.9 kJ/mol of atoms above it.

*a*
DFT (PBE) results for a geometry-optimized LaPmY2 structure.

a b c (Å): 11.931 11.931 11.931
angles (deg): 17.56 17.56 17.56
Sites, in units of the cell vectors:
La 0.000 0.000 0.000
Pm 0.500 0.500 0.500
Y 0.249 0.249 0.249
Y 0.751 0.751 0.751

Values from the calculation:
Space group: No. 166

*b*
DFT (PBE) results for a geometry-optimized LaPmY2 structure.

a b c (Å): 5.179 5.179 5.070
angles (deg): 90.00 90.00 90.00
Sites, in units of the cell vectors:
La 0.000 0.000 0.000
Pm 0.500 0.500 0.000
Y 0.000 0.500 0.500
Y 0.500 0.000 0.500

Values from the calculation:
Space group: No. 123

The data favor *a*; the next most stable structure lies 1.4 kJ/mol of atoms above it.

*a*
DFT (PBE) results for a geometry-optimized AgAsPb structure.

a b c (Å): 4.564 4.564 8.127
angles (deg): 90.00 90.00 120.00
Sites, in units of the cell vectors:
Ag 0.333 0.667 0.250
Ag 0.667 0.333 0.750
As 0.333 0.667 0.750
As 0.667 0.333 0.250
Pb 0.000 0.000 0.000
Pb 0.000 0.000 0.500

Values from the calculation:
Space group: No. 194

*b*
DFT (PBE) results for a geometry-optimized AgAsPb structure.

a b c (Å): 4.475 4.475 4.281
angles (deg): 90.00 90.00 120.00
Sites, in units of the cell vectors:
Ag 0.000 0.000 0.000
As 0.333 0.667 0.998
Pb 0.667 0.333 0.498

Values from the calculation:
Space group: No. 156

The data favor *a*; the next most stable structure lies 1.4 kJ/mol of atoms above it.